(1)
Computed, not measured: a relaxed structure of LiTeCl2 at the PBE level of DFT.

As for the mass density: 3.687 g/cm3. As for the space group: Cmmm, No. 65. As for the final energy: -10.6 eV for the cell shown. The uncorrected formation energy comes out at -45 kJ per mole of atoms.

Cell: 5.247 5.247 3.362 Å, 90.00 90.00 90.97°
Atoms (fractional coordinates):
Cl  0.000  0.000  0.000
Cl  0.500  0.500  0.000
Li  0.500  0.000  0.500
Te  0.000  0.500  0.500

---

(2)
Computed, not measured: a relaxed structure of MnAuCl2 at the PBE level of DFT.

As for the mass density: 5.949 g/cm3. As for the space group: R3m, No. 160. As for the final energy: -17.9 eV for the cell shown. The uncorrected formation energy comes out at -42 kJ per mole of atoms.

Cell: 8.327 8.327 8.327 Å, 24.91 24.91 24.91°
Atoms (fractional coordinates):
Mn  0.495  0.495  0.495
Au  0.761  0.761  0.761
Cl  0.025  0.025  0.025
Cl  0.219  0.219  0.219

---

(3)
Computed, not measured: a relaxed structure of Pr4OsRhBr2 at the PBE level of DFT.

As for the mass density: 7.153 g/cm3. As for the space group: P2/m, No. 10. As for the final energy: -47.9 eV for the cell shown. The uncorrected formation energy comes out at -83 kJ per mole of atoms.

Cell: 4.155 7.186 8.256 Å, 106.81 90.00 90.00°
Atoms (fractional coordinates):
Pr  0.500  0.237  0.196
Pr  0.500  0.763  0.804
Pr  0.000  0.272  0.801
Pr  0.000  0.728  0.199
Os  0.500  0.500  0.000
Rh  0.000  0.000  0.000
Br  0.500  0.000  0.500
Br  0.000  0.500  0.500

---

(4)
Computed, not measured: a relaxed structure of AcDy3Tm3 at the PBE level of DFT.

As for the mass density: 8.644 g/cm3. As for the space group: P1, No. 1. As for the final energy: -121.7 eV for the cell shown.

Cell: 18.432 7.197 11.353 Å, 90.71 132.85 112.19°
Atoms (fractional coordinates):
Ac  0.926  0.898  0.987
Ac  0.251  0.274  0.216
Ac  0.742  0.984  0.020
Ac  0.100  0.865  0.818
Dy  0.250  0.765  0.225
Dy  0.739  0.477  0.023
Dy  0.440  0.443  0.183
Dy  0.468  0.982  0.723
Dy  0.532  0.308  0.542
Dy  0.549  0.811  0.065
Dy  0.013  0.782  0.415
Dy  0.222  0.473  0.453
Dy  0.825  0.324  0.390
Dy  0.284  0.286  0.763
Dy  0.692  0.927  0.479
Dy  0.966  0.303  0.814
Tm  0.513  0.773  0.521
Tm  0.561  0.319  0.080
Tm  0.996  0.489  0.151
Tm  0.217  0.988  0.442
Tm  0.831  0.845  0.402
Tm  0.756  0.250  0.773
Tm  0.179  0.449  0.869
Tm  0.448  0.960  0.200
Tm  0.470  0.473  0.731
Tm  0.025  0.281  0.443
Tm  0.280  0.801  0.758
Tm  0.725  0.472  0.511

---

(5)
Computed, not measured: a relaxed structure of K2AgBr2F2 at the PBE level of DFT.

As for the mass density: 3.657 g/cm3. As for the space group: I4/mmm, No. 139. As for the final energy: -23.3 eV for the cell shown. The uncorrected formation energy comes out at -154 kJ per mole of atoms.

Cell: 4.656 4.656 8.687 Å, 105.54 105.54 90.00°
Atoms (fractional coordinates):
K  0.388  0.388  0.776
K  0.612  0.612  0.224
Ag  0.000  0.000  0.000
Br  0.163  0.163  0.325
Br  0.837  0.837  0.675
F  0.000  0.500  0.000
F  0.500  0.000  0.000

---

(6)
Computed, not measured: a relaxed structure of KAg2Au at the PBE level of DFT.

As for the mass density: 8.327 g/cm3. As for the space group: Fm-3m, No. 225. As for the final energy: -9.5 eV for the cell shown.

Cell: 5.032 5.032 5.032 Å, 60.00 60.00 60.00°
Atoms (fractional coordinates):
K  0.000  0.000  0.000
Au  0.500  0.500  0.500
Ag  0.250  0.250  0.250
Ag  0.750  0.750  0.750

---

(7)
Computed, not measured: a relaxed structure of Ac4BiOs at the PBE level of DFT.

As for the mass density: 9.785 g/cm3. As for the space group: C2/c, No. 15. As for the final energy: -66.9 eV for the cell shown.

Cell: 6.776 8.733 8.733 Å, 113.56 101.07 101.07°
Atoms (fractional coordinates):
Ac  0.871  0.651  0.795
Ac  0.056  0.941  0.276
Ac  0.629  0.205  0.349
Ac  0.444  0.724  0.059
Ac  0.556  0.276  0.941
Ac  0.371  0.795  0.651
Ac  0.944  0.059  0.724
Ac  0.129  0.349  0.205
Bi  0.750  0.624  0.376
Bi  0.250  0.376  0.624
Os  0.250  0.000  0.000
Os  0.750  0.000  0.000

---

(8)
Computed, not measured: a relaxed structure of Tb7Nd4Er at the PBE level of DFT.

As for the mass density: 7.740 g/cm3. As for the space group: P-1, No. 2. As for the final energy: -55.0 eV for the cell shown.

Cell: 6.869 8.850 9.139 Å, 84.14 94.38 47.34°
Atoms (fractional coordinates):
Tb  0.736  0.511  0.949
Tb  0.264  0.489  0.051
Tb  0.984  0.319  0.640
Tb  0.016  0.681  0.360
Tb  0.294  0.812  0.617
Tb  0.500  0.000  0.000
Tb  0.706  0.188  0.383
Nd  0.550  0.639  0.282
Nd  0.450  0.361  0.718
Nd  0.775  0.841  0.693
Nd  0.225  0.159  0.307
Er  0.000  0.000  0.000

---

(9)
Computed, not measured: a relaxed structure of OsRuPb2 at the PBE level of DFT.

As for the mass density: 15.118 g/cm3. As for the space group: Pmm2, No. 25. As for the final energy: -24.5 eV for the cell shown.

Cell: 5.132 3.193 4.731 Å, 90.00 90.00 90.00°
Atoms (fractional coordinates):
Os  0.500  0.875  0.719
Pb  0.000  0.875  0.010
Pb  0.500  0.375  0.239
Ru  0.000  0.375  0.531

---

(10)
Computed, not measured: a relaxed structure of SrCa2Zn2 at the PBE level of DFT.

As for the mass density: 3.104 g/cm3. As for the space group: Imma, No. 74. As for the final energy: -18.4 eV for the cell shown.

Cell: 4.473 8.604 9.613 Å, 116.58 103.45 90.00°
Atoms (fractional coordinates):
Sr  0.001  0.750  0.000
Sr  0.999  0.250  0.000
Ca  0.345  0.845  0.690
Ca  0.345  0.345  0.690
Ca  0.655  0.155  0.310
Ca  0.655  0.655  0.310
Zn  0.205  0.955  0.411
Zn  0.795  0.545  0.589
Zn  0.795  0.045  0.589
Zn  0.205  0.455  0.411

---

(11)
Computed, not measured: a relaxed structure of Nd2GaCo5Si2 at the PBE level of DFT.

As for the mass density: 7.717 g/cm3. As for the space group: P4/mbm, No. 127. As for the final energy: -123.8 eV for the cell shown. The uncorrected formation energy comes out at -29 kJ per mole of atoms.

Cell: 3.301 9.614 9.614 Å, 90.00 90.00 90.00°
Atoms (fractional coordinates):
Nd  0.000  0.679  0.179
Nd  0.000  0.321  0.821
Nd  0.000  0.179  0.321
Nd  0.000  0.821  0.679
Ga  0.000  0.000  0.000
Ga  0.000  0.500  0.500
Co  0.500  0.220  0.065
Co  0.500  0.780  0.935
Co  0.500  0.065  0.780
Co  0.500  0.720  0.435
Co  0.500  0.935  0.220
Co  0.500  0.280  0.565
Co  0.500  0.565  0.720
Co  0.500  0.435  0.280
Co  0.500  0.500  0.000
Co  0.500  0.000  0.500
Si  0.000  0.117  0.617
Si  0.000  0.883  0.383
Si  0.000  0.617  0.883
Si  0.000  0.383  0.117

---

(12)
Computed, not measured: a relaxed structure of BaMn2 at the PBE level of DFT.

As for the mass density: 3.934 g/cm3. As for the space group: Pa-3, No. 205. As for the final energy: -62.7 eV for the cell shown.

Cell: 7.474 7.474 7.474 Å, 90.00 90.00 90.00°
Atoms (fractional coordinates):
Mn  0.598  0.598  0.402
Mn  0.402  0.402  0.598
Mn  0.098  0.902  0.598
Mn  0.902  0.098  0.402
Mn  0.402  0.098  0.098
Mn  0.598  0.902  0.902
Mn  0.902  0.402  0.902
Mn  0.098  0.598  0.098
Ba  0.000  0.000  0.000
Ba  0.500  0.500  0.000
Ba  0.500  0.000  0.500
Ba  0.000  0.500  0.500

---

(13)
Computed, not measured: a relaxed structure of Dy2ScPt9 at the PBE level of DFT.

As for the mass density: 17.291 g/cm3. As for the space group: P4/mmm, No. 123. As for the final energy: -82.4 eV for the cell shown.

Cell: 4.084 4.084 12.241 Å, 90.00 90.00 90.00°
Atoms (fractional coordinates):
Dy  0.000  0.000  0.331
Dy  0.000  0.000  0.669
Sc  0.000  0.000  0.000
Pt  0.500  0.500  0.000
Pt  0.500  0.500  0.330
Pt  0.500  0.500  0.670
Pt  0.500  0.000  0.159
Pt  0.500  0.000  0.500
Pt  0.500  0.000  0.841
Pt  0.000  0.500  0.159
Pt  0.000  0.500  0.500
Pt  0.000  0.500  0.841

---

(14)
Computed, not measured: a relaxed structure of Er4Pd3Pt at the PBE level of DFT.

As for the mass density: 11.233 g/cm3. As for the space group: Pmm2, No. 25. As for the final energy: -48.2 eV for the cell shown.

Cell: 3.723 4.491 10.462 Å, 90.00 90.00 90.00°
Atoms (fractional coordinates):
Pt  0.500  0.500  0.087
Pd  0.000  0.500  0.587
Pd  0.000  0.000  0.415
Pd  0.500  0.000  0.911
Er  0.500  0.500  0.359
Er  0.000  0.500  0.865
Er  0.000  0.000  0.138
Er  0.500  0.000  0.638

---

(15)
Computed, not measured: a relaxed structure of YCr2Sn at the PBE level of DFT.

As for the mass density: 5.495 g/cm3. As for the space group: I-42d, No. 122. As for the final energy: -54.5 eV for the cell shown.

Cell: 7.847 7.847 6.336 Å, 51.74 51.74 90.00°
Atoms (fractional coordinates):
Y  0.500  0.500  0.000
Y  0.250  0.750  0.500
Cr  0.651  0.125  0.250
Cr  0.099  0.625  0.250
Cr  0.375  0.349  0.750
Cr  0.875  0.901  0.750
Sn  0.000  0.000  0.000
Sn  0.750  0.250  0.500

---

(16)
Computed, not measured: a relaxed structure of MgGa2HgF at the PBE level of DFT.

As for the mass density: 4.261 g/cm3. As for the space group: P4/mmm, No. 123. As for the final energy: -9.8 eV for the cell shown. The uncorrected formation energy comes out at 0 kJ per mole of atoms.

Cell: 5.271 5.377 5.271 Å, 90.00 90.00 90.00°
Atoms (fractional coordinates):
Mg  0.000  0.000  0.000
Hg  0.000  0.500  0.000
Ga  0.000  0.000  0.500
Ga  0.500  0.000  0.000
F  0.500  0.500  0.500

---

(17)
Computed, not measured: a relaxed structure of SbTe2Rh at the PBE level of DFT.

As for the mass density: 7.349 g/cm3. As for the space group: P4mm, No. 99. As for the final energy: -18.0 eV for the cell shown. The uncorrected formation energy comes out at -7 kJ per mole of atoms.

Cell: 3.178 3.178 10.735 Å, 90.00 90.00 90.00°
Atoms (fractional coordinates):
Sb  0.500  0.500  0.663
Te  0.000  0.000  0.002
Te  0.500  0.500  0.343
Rh  0.000  0.000  0.493

---

(18)
Computed, not measured: a relaxed structure of KSiAgO3 at the PBE level of DFT.

As for the mass density: 2.965 g/cm3. As for the space group: C2/m, No. 12. As for the final energy: -70.5 eV for the cell shown. The uncorrected formation energy comes out at -177 kJ per mole of atoms.

Cell: 6.148 6.148 7.998 Å, 74.45 74.45 60.36°
Atoms (fractional coordinates):
K  0.679  0.679  0.872
K  0.321  0.321  0.128
Si  0.027  0.027  0.840
Si  0.973  0.973  0.160
Ag  0.245  0.755  0.500
Ag  0.755  0.245  0.500
O  0.117  0.117  0.984
O  0.271  0.816  0.737
O  0.816  0.271  0.737
O  0.184  0.729  0.263
O  0.729  0.184  0.263
O  0.883  0.883  0.016

---

(19)
Computed, not measured: a relaxed structure of AcErAgRu at the PBE level of DFT.

As for the mass density: 10.297 g/cm3. As for the space group: F-43m, No. 216. As for the final energy: -21.4 eV for the cell shown.

Cell: 5.162 5.162 5.162 Å, 60.00 60.00 60.00°
Atoms (fractional coordinates):
Ru  0.750  0.750  0.750
Ac  0.000  0.000  0.000
Ag  0.250  0.250  0.250
Er  0.500  0.500  0.500

---

(20)
Computed, not measured: a relaxed structure of Ca2HoRh9 at the PBE level of DFT.

As for the mass density: 9.217 g/cm3. As for the space group: R-3m, No. 166. As for the final energy: -79.2 eV for the cell shown.

Cell: 5.271 5.271 9.283 Å, 73.51 73.51 60.00°
Atoms (fractional coordinates):
Ca  0.859  0.859  0.422
Ca  0.141  0.141  0.578
Ho  0.000  0.000  0.000
Rh  0.667  0.667  0.999
Rh  0.333  0.333  0.001
Rh  0.500  0.500  0.500
Rh  0.419  0.419  0.244
Rh  0.917  0.419  0.244
Rh  0.419  0.917  0.244
Rh  0.581  0.581  0.756
Rh  0.581  0.083  0.756
Rh  0.083  0.581  0.756

---

(21)
Computed, not measured: a relaxed structure of NiPb2Br at the PBE level of DFT.

As for the mass density: 9.253 g/cm3. As for the space group: I4/mmm, No. 139. As for the final energy: -13.7 eV for the cell shown. The uncorrected formation energy comes out at 28 kJ per mole of atoms.

Cell: 5.404 5.404 5.404 Å, 126.22 126.22 79.53°
Atoms (fractional coordinates):
Br  0.250  0.750  0.500
Ni  0.750  0.250  0.500
Pb  0.000  0.000  0.000
Pb  0.500  0.500  0.000

---

(22)
Computed, not measured: a relaxed structure of LaP2RuS at the PBE level of DFT.

As for the mass density: 3.504 g/cm3. As for the space group: P4/mmm, No. 123. As for the final energy: -22.6 eV for the cell shown. The uncorrected formation energy comes out at 127 kJ per mole of atoms.

Cell: 5.444 5.444 5.339 Å, 90.00 90.00 90.00°
Atoms (fractional coordinates):
Ru  0.500  0.500  0.500
S  0.000  0.000  0.500
P  0.000  0.500  0.000
P  0.500  0.000  0.000
La  0.000  0.000  0.000

---

(23)
Computed, not measured: a relaxed structure of TmScPd at the PBE level of DFT.

As for the mass density: 7.212 g/cm3. As for the space group: F-43m, No. 216. As for the final energy: -17.4 eV for the cell shown.

Cell: 4.707 4.707 4.707 Å, 60.00 60.00 60.00°
Atoms (fractional coordinates):
Sc  0.500  0.500  0.500
Tm  0.000  0.000  0.000
Pd  0.250  0.250  0.250

---

(24)
Computed, not measured: a relaxed structure of NaTiPO2 at the PBE level of DFT.

As for the mass density: 2.957 g/cm3. As for the space group: P4/mmm, No. 123. As for the final energy: -22.6 eV for the cell shown. The uncorrected formation energy comes out at 37 kJ per mole of atoms.

Cell: 3.914 3.914 4.906 Å, 90.00 90.00 90.00°
Atoms (fractional coordinates):
P  0.000  0.000  0.500
Na  0.000  0.000  0.000
O  0.000  0.500  0.000
O  0.500  0.000  0.000
Ti  0.500  0.500  0.500